(1)
Material: ReTc3Se
Method: DFT, PBE
State: relaxed

Cell lengths 4.466, 4.466, 4.466 Å; angles 90.00, 90.00, 90.00 degrees
Each line ends with the local moment (μB).
Positions (direct):
Re: 0.500 0.500 0.500  2.08
Tc: 0.000 0.000 0.500  0.07
Se: 0.000 0.000 0.000  0.06
Tc: 0.500 0.000 0.000  -0.13
Tc: 0.000 0.500 0.000  -0.06

Values from the calculation:
The calculation puts the energy above the most stable polymorph in this dataset at 0 meV per atom. The crystal system is cubic. The density of states at the Fermi level is 6.0 states/eV per cell. For the formation energy (no corrections), the calculation gives 34.4 kcal/mol of atoms.

(2)
Material: Re3TcSe
Method: DFT, PBE
State: relaxed

Cell lengths 4.692, 4.692, 4.692 Å; angles 90.00, 90.00, 90.00 degrees
Each line ends with the local moment (μB).
Positions (direct):
Re: 0.000 0.000 0.500  0.12
Se: 0.500 0.500 0.500  -0.04
Re: 0.000 0.500 0.000  0.15
Tc: 0.000 0.000 0.000  -0.01
Re: 0.500 0.000 0.000  0.14

Values from the calculation:
The calculation puts the energy above the most stable polymorph in this dataset at 403 meV per atom. The crystal system is cubic. The density of states at the Fermi level is 7.2 states/eV per cell. For the formation energy (no corrections), the calculation gives 52.9 kcal/mol of atoms.

(3)
Material: ReTc2Se
Method: DFT, PBE
State: relaxed

Cell lengths 4.997, 4.997, 4.997 Å; angles 135.59, 135.59, 64.62 degrees
Positions (direct):
Tc: 0.750 0.250 0.500
Se: 0.250 0.750 0.500
Tc: 0.000 0.000 0.000
Re: 0.500 0.500 0.000

Values from the calculation:
The crystal system is tetragonal. The density of states at the Fermi level is 4.4 states/eV per cell. For the formation energy (no corrections), the calculation gives 13.5 kcal/mol of atoms.

(4)
Material: Re3TcSe
Method: DFT, PBE
State: relaxed

Cell lengths 4.495, 4.495, 4.495 Å; angles 90.00, 90.00, 90.00 degrees
Each line ends with the local moment (μB).
Positions (direct):
Re: 0.500 0.000 0.000  -0.08
Re: 0.000 0.000 0.500  0.08
Tc: 0.500 0.500 0.500  2.35
Se: 0.000 0.000 0.000  0.07
Re: 0.000 0.500 0.000  -0.04

Values from the calculation:
The calculation puts the energy above the most stable polymorph in this dataset at 0 meV per atom. The crystal system is cubic. The density of states at the Fermi level is 5.2 states/eV per cell. For the formation energy (no corrections), the calculation gives 43.6 kcal/mol of atoms.

(5)
Material: ReTc2Se
Method: DFT, PBE
State: relaxed

Cell lengths 2.787, 2.787, 8.867 Å; angles 90.00, 90.00, 115.35 degrees
Positions (direct):
Tc: 0.000 0.000 0.494
Tc: 0.000 0.000 0.006
Se: 0.500 0.500 0.750
Re: 0.500 0.500 0.250

Values from the calculation:
The crystal system is orthorhombic. The density of states at the Fermi level is 4.3 states/eV per cell. For the formation energy (no corrections), the calculation gives 12.1 kcal/mol of atoms.

(6)
Material: ReTcSe2
Method: DFT, PBE
State: relaxed

Cell lengths 2.870, 2.870, 10.000 Å; angles 90.00, 90.00, 116.81 degrees
Positions (direct):
Se: 0.000 0.000 0.946
Re: 0.500 0.500 0.729
Se: 0.500 0.500 0.305
Tc: 0.000 0.000 0.520

Values from the calculation:
The calculation puts the energy above the most stable polymorph in this dataset at 516 meV per atom. The crystal system is orthorhombic. The density of states at the Fermi level is 3.0 states/eV per cell. For the formation energy (no corrections), the calculation gives 10.5 kcal/mol of atoms.